[1]
This record from Alexandria describes a geometry-optimized Bi3MoCl structure. The functional is PBE.

Unit cell a=5.3800 b=5.3800 c=5.3800 alpha=90.00 beta=90.00 gamma=90.00
Last column: nearest neighbours and their distance in Å.
Space group Pm-3m (No. 221)
One atom of each set of equivalent atoms:
Bi 0.0000 0.0000 0.5000 x3  2 Mo 2.69
Mo 0.0000 0.0000 0.0000 x1  6 Bi 2.69
Cl 0.5000 0.5000 0.5000 x1  12 Bi 3.80

Results
V in Å³ per cell: 155.7
Theoretical density in Mg/m³: 8.09
E_tot in eV per atom: -4.5854
Excess energy over the best structure of this formula in the dataset in eV/atom: 0.000

[2]
This record from Alexandria describes a geometry-optimized ThMgScZn structure. The functional is PBE.

Unit cell a=7.2440 b=7.2440 c=7.2440 alpha=90.00 beta=90.00 gamma=90.00
Last column: nearest neighbours and their distance in Å.
Space group F-43m (No. 216)
One atom of each set of equivalent atoms:
Th 0.0000 0.0000 0.0000 x4  4 Mg 3.14, 4 Zn 3.14
Mg 0.2500 0.2500 0.7500 x4  4 Th 3.14, 4 Sc 3.14
Sc 0.0000 0.0000 0.5000 x4  4 Mg 3.14, 4 Zn 3.14
Zn 0.2500 0.2500 0.2500 x4  4 Th 3.14, 4 Sc 3.14

Results
V in Å³ per cell: 380.1
Theoretical density in Mg/m³: 6.41
E_tot in eV per atom: -4.2285

[3]
This record from Alexandria describes a geometry-optimized BaSc5 structure. The functional is PBE.

Unit cell a=3.4248 b=3.4248 c=14.6217 alpha=90.00 beta=90.00 gamma=90.00
Last column: nearest neighbours and their distance in Å.
Space group P4/mmm (No. 123)
One atom of each set of equivalent atoms:
Ba 0.0000 0.0000 0.0000 x1  4 Ba 3.42
Sc 0.0000 0.0000 0.3519 x2  12 Sc 3.20-3.42
Sc 0.5000 0.5000 0.2090 x2  8 Sc 3.20-3.42
Sc 0.5000 0.5000 0.5000 x1  12 Sc 3.25-3.42

Results
V in Å³ per cell: 171.5
Theoretical density in Mg/m³: 3.51
E_tot in eV per atom: -5.3967
Excess energy over the best structure of this formula in the dataset in eV/atom: 0.000

[4]
This record from Alexandria describes a geometry-optimized NbGa3 structure. The functional is PBE.

Unit cell a=2.9921 b=9.2616 c=4.8465 alpha=90.00 beta=90.00 gamma=90.00
Last column: nearest neighbours and their distance in Å.
Space group Imm2 (No. 44)
One atom of each set of equivalent atoms:
Nb 0.0000 0.0000 0.0000 x2  10 Ga 2.79-2.91, 2 Nb 2.99
Ga 0.0000 0.2563 0.6769 x4  9 Ga 2.79-2.99, 3 Nb 2.84
Ga 0.0000 0.5000 0.0147 x2  4 Nb 2.79-2.91, 8 Ga 2.79-2.99

Results
V in Å³ per cell: 134.3
Theoretical density in Mg/m³: 7.47
E_tot in eV per atom: -4.9930

[5]
This record from Alexandria describes a geometry-optimized InRe2Au structure. The functional is PBE.

Unit cell a=3.9053 b=3.9053 c=4.4438 alpha=90.00 beta=90.00 gamma=90.00
Last column: nearest neighbours and their distance in Å.
Space group P4/mmm (No. 123)
One atom of each set of equivalent atoms:
In 0.0000 0.0000 0.0000 x1  4 Au 2.76, 8 Re 2.96
Re 0.0000 0.5000 0.5000 x2  4 Re 2.76, 4 In 2.96, 4 Au 2.96
Au 0.5000 0.5000 0.0000 x1  4 In 2.76, 8 Re 2.96

Results
V in Å³ per cell: 67.8
Theoretical density in Mg/m³: 16.76
E_tot in eV per atom: -7.0440

[6]
This record from Alexandria describes a geometry-optimized NdSc2Ir structure. The functional is PBE.

Unit cell a=4.4528 b=4.4528 c=17.9208 alpha=90.00 beta=90.00 gamma=120.00
Last column: nearest neighbours and their distance in Å.
Space group R3m (No. 160, hexagonal axes)
One atom of each set of equivalent atoms:
Nd 0.0000 0.0000 0.0000 x3  1 Ir 3.11, 6 Sc 3.31-3.38
Sc 0.0000 0.0000 0.5500 x3  3 Ir 2.68
Sc 0.0000 0.0000 0.7892 x3  3 Ir 2.73
Ir 0.0000 0.0000 0.1738 x3  6 Sc 2.68-2.73

Results
V in Å³ per cell: 307.7
Theoretical density in Mg/m³: 6.90
E_tot in eV per atom: -7.0023
Excess energy over the best structure of this formula in the dataset in eV/atom: 0.063

[7]
This record from Alexandria describes a geometry-optimized La3Pm2Tl structure. The functional is PBE.

Unit cell a=6.3315 b=11.0070 c=11.9141 alpha=90.00 beta=100.38 gamma=90.00
Last column: nearest neighbours and their distance in Å.
Space group C2/m (No. 12)
One atom of each set of equivalent atoms:
La 0.2355 0.0000 0.2421 x4  2 Tl 3.53, 4 Pm 3.59-3.69, 6 La 3.60-3.78
La 0.2471 0.1723 0.7559 x8  2 Tl 3.52-3.54, 4 Pm 3.60-3.69, 6 La 3.60-3.79
Pm 0.0000 0.0000 0.5000 x2  6 Pm 3.63-3.72, 6 La 3.65-3.69
Pm 0.0000 0.3377 0.5000 x4  6 Pm 3.57-3.72, 6 La 3.65-3.69
Pm 0.0000 0.5000 0.0000 x2  6 La 3.59-3.60, 6 Tl 3.65-3.67
Tl 0.0000 0.1683 0.0000 x4  6 La 3.52-3.54, 3 Tl 3.64-3.71, 3 Pm 3.65-3.67

Results
V in Å³ per cell: 816.7
Theoretical density in Mg/m³: 7.41
E_tot in eV per atom: -4.4951
Excess energy over the best structure of this formula in the dataset in eV/atom: 0.068

[8]
This record from Alexandria describes a geometry-optimized CaCdGeSe2 structure. The functional is PBE.

Unit cell a=5.3659 b=5.3659 c=4.8951 alpha=90.00 beta=90.00 gamma=90.00
Last column: nearest neighbours and their distance in Å.
Space group P4/mmm (No. 123)
One atom of each set of equivalent atoms:
Ca 0.0000 0.0000 0.0000 x1  8 Se 3.63, 4 Cd 3.79
Cd 0.5000 0.5000 0.0000 x1  2 Ge 2.45
Ge 0.5000 0.5000 0.5000 x1  2 Cd 2.45, 4 Se 2.68
Se 0.0000 0.5000 0.5000 x2  2 Ge 2.68

Results
V in Å³ per cell: 140.9
Theoretical density in Mg/m³: 4.51
E_tot in eV per atom: -3.2448

[9]
This record from Alexandria describes a geometry-optimized TaMnBePt2 structure. The functional is PBE.

Unit cell a=4.6133 b=4.6133 c=3.8404 alpha=90.00 beta=90.00 gamma=90.00
Last column: nearest neighbours and their distance in Å.
Space group P4/mmm (No. 123)
One atom of each set of equivalent atoms:
Ta 0.0000 0.0000 0.0000 x1  8 Pt 3.00, 4 Be 3.26
Mn 0.5000 0.5000 0.5000 x1  2 Be 1.92
Be 0.5000 0.5000 0.0000 x1  2 Mn 1.92
Pt 0.0000 0.5000 0.5000 x2  2 Mn 2.31

Results
V in Å³ per cell: 81.7
Theoretical density in Mg/m³: 12.90
E_tot in eV per atom: -6.5580

[10]
This record from Alexandria describes a geometry-optimized ZnSiBr2 structure. The functional is PBE.

Unit cell a=7.8858 b=7.8718 c=3.3676 alpha=90.00 beta=90.43 gamma=90.00
Last column: nearest neighbours and their distance in Å.
Space group C2/m (No. 12)
One atom of each set of equivalent atoms:
Zn 0.0000 0.0000 0.0000 x2  4 Br 2.79
Si 0.0000 0.5000 0.0000 x2  4 Br 2.79
Br 0.2500 0.2500 0.0000 x4  2 Si 2.79, 2 Zn 2.79

Results
V in Å³ per cell: 209.0
Theoretical density in Mg/m³: 4.02
E_tot in eV per atom: -2.3248
Excess energy over the best structure of this formula in the dataset in eV/atom: 0.346

[11]
This record from Alexandria describes a geometry-optimized Sm2MgGe4Ir3 structure. The functional is PBE.

Unit cell a=4.2719 b=4.2719 c=10.4695 alpha=90.00 beta=90.00 gamma=90.00
Last column: nearest neighbours and their distance in Å.
Space group P-4m2 (No. 115)
One atom of each set of equivalent atoms:
Sm 0.0000 0.5000 0.2361 x2  6 Ir 3.25-3.49, 8 Ge 3.27, 2 Mg 3.49
Mg 0.0000 0.0000 0.5000 x1  4 Ge 2.62
Ge 0.0000 0.0000 0.0000 x1  4 Ir 2.49
Ge 0.0000 0.5000 0.6450 x2  3 Ir 2.44-2.62, 2 Mg 2.62
Ge 0.5000 0.5000 0.0000 x1  4 Ir 2.49
Ir 0.0000 0.5000 0.8780 x2  5 Ge 2.44-2.49
Ir 0.5000 0.5000 0.5000 x1  4 Ge 2.62

Results
V in Å³ per cell: 191.1
Theoretical density in Mg/m³: 10.36
E_tot in eV per atom: -6.3024

[12]
This record from Alexandria describes a geometry-optimized EuY2Mg structure. The functional is PBE.

Unit cell a=5.4316 b=5.4316 c=4.2703 alpha=90.00 beta=90.00 gamma=90.00
Last column: nearest neighbours and their distance in Å.
Space group P4/mmm (No. 123)
One atom of each set of equivalent atoms:
Eu 0.0000 0.0000 0.0000 x1  8 Y 3.45, 4 Mg 3.84
Y 0.0000 0.5000 0.5000 x2  4 Mg 3.45, 4 Eu 3.45, 4 Y 3.84
Mg 0.5000 0.5000 0.0000 x1  8 Y 3.45, 4 Eu 3.84

Results
V in Å³ per cell: 126.0
Theoretical density in Mg/m³: 4.67
E_tot in eV per atom: -6.1200
Excess energy over the best structure of this formula in the dataset in eV/atom: 0.072

Please write out number 6 again, unchanged.
This record from Alexandria describes a geometry-optimized NdSc2Ir structure. The functional is PBE.

Unit cell a=4.4528 b=4.4528 c=17.9208 alpha=90.00 beta=90.00 gamma=120.00
Last column: nearest neighbours and their distance in Å.
Space group R3m (No. 160, hexagonal axes)
One atom of each set of equivalent atoms:
Nd 0.0000 0.0000 0.0000 x3  1 Ir 3.11, 6 Sc 3.31-3.38
Sc 0.0000 0.0000 0.5500 x3  3 Ir 2.68
Sc 0.0000 0.0000 0.7892 x3  3 Ir 2.73
Ir 0.0000 0.0000 0.1738 x3  6 Sc 2.68-2.73

Results
V in Å³ per cell: 307.7
Theoretical density in Mg/m³: 6.90
E_tot in eV per atom: -7.0023
Excess energy over the best structure of this formula in the dataset in eV/atom: 0.063

Question: Among the records above, which one has the lowest V?
Answer: InRe2Au

Question: E_tot of number 7 (La3Pm2Tl)?
Answer: -4.4951 eV per atom